[1]
PtWCl2 after structural relaxation, computed with PBE.

The structure belongs to space group R3m (No. 160, hexagonal axes); the cell edges are 3.0516, 3.0516 and 27.8696 Å and the angles 90.00°, 90.00° and 120.00°. The inequivalent atoms are Pt at (0.0000, 0.0000, 0.0000), W at (0.0000, 0.0000, 0.7395), Cl at (0.0000, 0.0000, 0.2600) and Cl at (0.0000, 0.0000, 0.4710).

As for the total moment: 0.00 μB/cell. The value obtained for the density is 9.97 g/cm3. The calculation puts the energy at -5.698 eV per atom. The formation energy (no corrections) is -0.027 eV/atom. The excess energy over the best structure of this formula in the dataset is 132 meV/atom.


[2]
Ho3ErAg2 after structural relaxation, computed with PBE.

The structure belongs to space group P4/mmm (No. 123); the cell edges are 3.5966, 3.5966 and 12.1786 Å and the angles 90.00°, 90.00° and 90.00°. The inequivalent atoms are Ho at (0.0000, 0.0000, 0.0000), Ho at (0.0000, 0.0000, 0.2997), Er at (0.5000, 0.5000, 0.5000) and Ag at (0.5000, 0.5000, 0.1498).

As for the total moment: 0.00 μB/cell. The value obtained for the density is 9.25 g/cm3. The calculation puts the energy at -4.203 eV per atom. The excess energy over the best structure of this formula in the dataset is 0 meV/atom.


[3]
KNb2MoBr after structural relaxation, computed with PBE.

The structure belongs to space group P4/mmm (No. 123); the cell edges are 4.9394, 4.9394 and 4.7919 Å and the angles 90.00°, 90.00° and 90.00°. The inequivalent atoms are K at (0.0000, 0.0000, 0.0000), Nb at (0.0000, 0.5000, 0.5000), Mo at (0.5000, 0.5000, 0.0000) and Br at (0.5000, 0.5000, 0.5000).

As for the total moment: 0.93 μB/cell. The value obtained for the density is 5.69 g/cm3. The calculation puts the energy at -5.152 eV per atom. The formation energy (no corrections) is 1.596 eV/atom.


Which value of total moment does entry 3 give?
0.93 μB/cell